Density functional theory data (GGA-PBE) for an optimized crystal structure of LiY2BiS.

Calculated values
Its final energy is -28.0 eV for the cell shown.

Cell lengths 5.2948, 5.2948, 4.4601 Å; angles 90.00, 90.00, 90.00 degrees
With the nearest neighbours (Å) after each atom.
Atoms (fractional coordinates):
Y: 0.5000 0.0000 0.0000  2 S 2.65
Bi: 0.5000 0.5000 0.5000  8 Y 3.46, 4 Li 3.74
S: 0.0000 0.0000 0.0000  2 Li 2.23
Li: 0.0000 0.0000 0.5000  2 S 2.23
Y: 0.0000 0.5000 0.0000  2 S 2.65



Density functional theory data (GGA-PBE) for an optimized crystal structure of TaCrOsRh.

Calculated values
Its final energy is -40.6 eV for the cell shown.

Cell lengths 4.4129, 4.4129, 4.4129 Å; angles 60.00, 60.00, 60.00 degrees
With the nearest neighbours (Å) after each atom.
Atoms (fractional coordinates):
Rh: 0.7500 0.7500 0.7500  4 Cr 2.70, 4 Ta 2.70
Cr: 0.5000 0.5000 0.5000  4 Os 2.70, 4 Rh 2.70
Os: 0.2500 0.2500 0.2500  4 Cr 2.70, 4 Ta 2.70
Ta: 0.0000 0.0000 0.0000  4 Os 2.70, 4 Rh 2.70



Density functional theory data (GGA-PBE) for an optimized crystal structure of Pm2Er3Tm6.

Calculated values
Its final energy is -47.0 eV for the cell shown.

Cell lengths 4.6875, 4.6875, 16.7314 Å; angles 98.05, 98.05, 90.00 degrees
With the nearest neighbours (Å) after each atom.
Atoms (fractional coordinates):
Tm: 0.6949 0.6949 0.3898  5 Er 3.32-3.40, 4 Tm 3.34
Er: 0.0000 0.0000 0.0000  8 Pm 3.65
Tm: 0.3051 0.3051 0.6102  5 Er 3.32-3.40, 4 Tm 3.34
Er: 0.7984 0.7984 0.5968  9 Tm 3.32-3.50
Er: 0.2016 0.2016 0.4032  9 Tm 3.32-3.50
Tm: 0.6223 0.1223 0.2446  6 Tm 3.31-3.34, 2 Pm 3.42, 2 Er 3.50
Tm: 0.1223 0.6223 0.2446  6 Tm 3.31-3.34, 2 Pm 3.42, 2 Er 3.50
Tm: 0.3777 0.8777 0.7554  6 Tm 3.31-3.34, 2 Pm 3.42, 2 Er 3.50
Tm: 0.8777 0.3777 0.7554  6 Tm 3.31-3.34, 2 Pm 3.42, 2 Er 3.50
Pm: 0.5462 0.5462 0.0925  1 Pm 3.03
Pm: 0.4538 0.4538 0.9075  1 Pm 3.03



Density functional theory data (GGA-PBE) for an optimized crystal structure of Pr3P2IrRh9.

Calculated values
Its final energy is -107.3 eV for the cell shown.

Cell lengths 5.9667, 5.9667, 9.3197 Å; angles 90.00, 90.00, 120.00 degrees
With the nearest neighbours (Å) after each atom.
Atoms (fractional coordinates):
Ir: 0.0000 0.0000 0.5000  6 Rh 2.58
Pr: 0.6667 0.3333 0.3845  6 Rh 3.14
Rh: 0.6962 0.8481 0.2809  1 P 2.19
Rh: 0.5000 0.5000 0.0000  2 P 2.27
Rh: 0.3038 0.1519 0.7191  1 P 2.19
Rh: 0.0000 0.5000 0.0000  2 P 2.27
P: 0.6667 0.3333 0.8412  6 Rh 2.19-2.27
Rh: 0.1519 0.3038 0.2809  1 P 2.19
Rh: 0.8481 0.1519 0.7191  1 P 2.19
Rh: 0.5000 0.0000 0.0000  2 P 2.27
P: 0.3333 0.6667 0.1588  6 Rh 2.19-2.27
Pr: 0.0000 0.0000 0.0000  12 Rh 2.98-3.05
Rh: 0.1519 0.8481 0.2809  1 P 2.19
Pr: 0.3333 0.6667 0.6155  6 Rh 3.14
Rh: 0.8481 0.6962 0.7191  1 P 2.19



Density functional theory data (GGA-PBE) for an optimized crystal structure of Sm2ErTm4.

Calculated values
Its final energy is -123.2 eV for the cell shown.

Cell lengths 3.6921, 12.5497, 19.3400 Å; angles 90.00, 90.00, 90.00 degrees
With the nearest neighbours (Å) after each atom.
Atoms (fractional coordinates):
Tm: 0.0003 0.7688 0.0656  4 Tm 3.17-3.25, 2 Sm 3.36-3.37
Er: 0.5000 0.0000 0.0000  8 Tm 3.60-3.70, 2 Er 3.69, 4 Sm 4.00
Tm: 0.5003 0.7688 0.4344  4 Tm 3.17-3.25, 2 Sm 3.36-3.37
Tm: 0.0005 0.8932 0.3218  4 Tm 3.25-3.34, 3 Sm 3.30-3.55
Tm: 0.9997 0.2688 0.4344  4 Tm 3.17-3.25, 2 Sm 3.36-3.37
Er: 0.0000 0.5000 0.0000  8 Tm 3.60-3.70, 2 Er 3.69, 4 Sm 4.00
Tm: 0.5003 0.7312 0.9344  4 Tm 3.17-3.25, 2 Sm 3.36-3.37
Tm: 0.0005 0.6068 0.8218  4 Tm 3.25-3.34, 3 Sm 3.30-3.55
Tm: 0.9995 0.1068 0.6782  4 Tm 3.25-3.34, 3 Sm 3.30-3.55
Sm: 0.0002 0.1111 0.1690  5 Tm 3.30-3.55, 4 Sm 3.64-3.69
Sm: 0.5002 0.1111 0.3310  5 Tm 3.30-3.55, 4 Sm 3.64-3.69
Tm: 0.9997 0.2312 0.9344  4 Tm 3.17-3.25, 2 Sm 3.36-3.37
Sm: 0.5002 0.3889 0.8310  5 Tm 3.30-3.55, 4 Sm 3.64-3.69
Tm: 0.4997 0.2312 0.5656  4 Tm 3.17-3.25, 2 Sm 3.36-3.37
Er: 0.5000 0.5000 0.5000  8 Tm 3.60-3.70, 2 Er 3.69, 4 Sm 4.00
Sm: 0.4998 0.6111 0.1690  5 Tm 3.30-3.55, 4 Sm 3.64-3.69
Tm: 0.4995 0.1068 0.8218  4 Tm 3.25-3.34, 3 Sm 3.30-3.55
Sm: 0.9998 0.8889 0.8310  5 Tm 3.30-3.55, 4 Sm 3.64-3.69
Sm: 0.4998 0.8889 0.6690  5 Tm 3.30-3.55, 4 Sm 3.64-3.69
Tm: 0.4997 0.2688 0.0656  4 Tm 3.17-3.25, 2 Sm 3.36-3.37
Tm: 0.5005 0.6068 0.6782  4 Tm 3.25-3.34, 3 Sm 3.30-3.55
Tm: 0.0003 0.7312 0.5656  4 Tm 3.17-3.25, 2 Sm 3.36-3.37
Tm: 0.4995 0.3932 0.3218  4 Tm 3.25-3.34, 3 Sm 3.30-3.55
Sm: 0.0002 0.3889 0.6690  5 Tm 3.30-3.55, 4 Sm 3.64-3.69
Er: 0.0000 0.0000 0.5000  8 Tm 3.60-3.70, 2 Er 3.69, 4 Sm 4.00
Tm: 0.9995 0.3932 0.1782  4 Tm 3.25-3.34, 3 Sm 3.30-3.55
Tm: 0.5005 0.8932 0.1782  4 Tm 3.25-3.34, 3 Sm 3.30-3.55
Sm: 0.9998 0.6111 0.3310  5 Tm 3.30-3.55, 4 Sm 3.64-3.69



Density functional theory data (GGA-PBE) for an optimized crystal structure of CaSi2Ir.

Calculated values
Its final energy is -23.0 eV for the cell shown.

Cell lengths 3.1821, 3.1821, 6.8269 Å; angles 90.00, 90.00, 90.00 degrees
With the nearest neighbours (Å) after each atom.
Atoms (fractional coordinates):
Si: 0.5000 0.5000 0.1920  1 Ir 2.50, 4 Si 2.65
Si: 0.0000 0.0000 0.9864  4 Ir 2.50, 4 Si 2.65
Ir: 0.5000 0.5000 0.8262  5 Si 2.50
Ca: 0.0000 0.0000 0.4954  5 Si 3.06-3.35, 4 Ca 3.18, 4 Ir 3.19



Density functional theory data (GGA-PBE) for an optimized crystal structure of SmThSn2.

Calculated values
Its final energy is -21.8 eV for the cell shown.

Cell lengths 3.5783, 3.5783, 10.7152 Å; angles 80.39, 80.39, 60.00 degrees
With the nearest neighbours (Å) after each atom.
Atoms (fractional coordinates):
Sm: 0.5000 0.5000 0.5000  6 Sn 3.31, 6 Sm 3.58
Sn: 0.2486 0.2486 0.2542  3 Sm 3.31, 3 Th 3.38, 6 Sn 3.58
Th: 0.0000 0.0000 0.0000  6 Sn 3.38, 6 Th 3.58
Sn: 0.7514 0.7514 0.7458  3 Sm 3.31, 3 Th 3.38, 6 Sn 3.58



Density functional theory data (GGA-PBE) for an optimized crystal structure of K4AuF.

Calculated values
Its final energy is -30.7 eV for the cell shown.

Cell lengths 6.8328, 6.8328, 11.1652 Å; angles 90.00, 90.00, 101.02 degrees
With the nearest neighbours (Å) after each atom.
Atoms (fractional coordinates):
F: 0.8670 0.8670 0.7500  4 K 2.53-2.55
K: 0.1479 0.7655 0.2500  1 F 2.53
F: 0.1330 0.1330 0.2500  4 K 2.53-2.55
K: 0.7655 0.1479 0.2500  1 F 2.53
K: 0.8521 0.2345 0.7500  1 F 2.53
K: 0.7148 0.7148 0.5553  1 F 2.55
K: 0.2852 0.2852 0.0553  1 F 2.55
K: 0.2345 0.8521 0.7500  1 F 2.53
Au: 0.6151 0.6151 0.2500  8 K 3.52-3.60
K: 0.2852 0.2852 0.4447  1 F 2.55
Au: 0.3849 0.3849 0.7500  8 K 3.52-3.60
K: 0.7148 0.7148 0.9447  1 F 2.55



Density functional theory data (GGA-PBE) for an optimized crystal structure of Ba3TlCd8.

Calculated values
Its final energy is -18.5 eV for the cell shown.

Cell lengths 6.3355, 6.3355, 11.0018 Å; angles 73.27, 73.27, 60.00 degrees
With the nearest neighbours (Å) after each atom.
Atoms (fractional coordinates):
Tl: 0.8722 0.8722 0.3835  12 Cd 3.62-3.77, 4 Ba 3.77-3.81
Cd: 0.6865 0.6865 0.9405  6 Cd 3.15-3.22
Ba: 0.5046 0.5046 0.4861  12 Cd 3.60-3.78, 3 Tl 3.81, 1 Ba 4.00
Cd: 0.1889 0.1889 0.4332  6 Cd 3.14-3.19
Cd: 0.9378 0.4396 0.6848  6 Cd 3.16-3.22
Ba: 0.9934 0.9934 0.0198  12 Cd 3.61-3.93, 1 Tl 3.77, 3 Ba 3.97
Cd: 0.9378 0.9378 0.6848  6 Cd 3.16-3.22
Cd: 0.4370 0.4370 0.1871  6 Cd 3.14-3.18
Ba: 0.3763 0.3763 0.8712  12 Cd 3.71-3.75, 4 Ba 3.97-4.00
Cd: 0.4370 0.9388 0.1871  6 Cd 3.14-3.18
Cd: 0.9388 0.4370 0.1871  6 Cd 3.14-3.18
Cd: 0.4396 0.9378 0.6848  6 Cd 3.16-3.22



Density functional theory data (GGA-PBE) for an optimized crystal structure of Mg3In2Sn2.

Calculated values
Its final energy is -18.7 eV for the cell shown.

Cell lengths 4.8463, 8.0766, 5.0028 Å; angles 73.72, 90.54, 107.03 degrees
With the nearest neighbours (Å) after each atom.
Atoms (fractional coordinates):
Mg: 0.0000 0.0000 0.0000  4 In 2.99-3.05, 4 Sn 3.02-3.05
Sn: 0.6229 0.2456 0.8537  6 Mg 3.02-3.15, 1 In 3.36
Mg: 0.2481 0.5002 0.7656  4 Sn 3.06-3.15, 4 In 3.13-3.22, 2 Mg 3.37
Sn: 0.3771 0.7544 0.1463  6 Mg 3.02-3.15, 1 In 3.36
Mg: 0.7519 0.4998 0.2344  4 Sn 3.06-3.15, 4 In 3.13-3.22, 2 Mg 3.37
In: 0.1167 0.2294 0.3905  6 Mg 2.99-3.22
In: 0.8833 0.7706 0.6095  6 Mg 2.99-3.22



Density functional theory data (GGA-PBE) for an optimized crystal structure of TaCu2Cl.

Calculated values
Its final energy is -20.4 eV for the cell shown.

Cell lengths 5.5277, 5.5277, 5.5277 Å; angles 150.01, 127.99, 61.21 degrees
With the nearest neighbours (Å) after each atom.
Atoms (fractional coordinates):
Ta: 0.4926 0.4926 0.0000  2 Cl 2.46, 2 Cu 2.73
Cl: 0.2821 0.7821 0.5000  2 Ta 2.46
Cu: 0.9886 0.9886 0.0000  4 Cu 2.79-2.86, 4 Ta 2.81, 2 Cl 3.12
Cu: 0.7366 0.2366 0.5000  2 Ta 2.73, 4 Cu 2.79-2.86, 4 Cl 2.85



Density functional theory data (GGA-PBE) for an optimized crystal structure of GaCuTe2.

Calculated values
Its final energy is -27.5 eV for the cell shown.

Cell lengths 8.1298, 10.7198, 6.9690 Å; angles 28.95, 54.27, 40.58 degrees
With the nearest neighbours (Å) after each atom.
Atoms (fractional coordinates):
Te: 0.7422 0.0014 0.5128  3 Cu 2.74-2.86, 3 Ga 2.86-2.92
Cu: 0.2513 0.5025 0.9951  6 Te 2.74-2.87
Te: 0.0080 0.5042 0.4772  3 Cu 2.74-2.86, 3 Ga 2.86-2.92
Cu: 0.4997 0.0024 0.9957  6 Te 2.73-2.87
Ga: 0.0008 0.0040 0.9937  6 Te 2.85-2.92
Te: 0.2581 0.0029 0.4786  3 Cu 2.73-2.87, 3 Ga 2.85-2.92
Te: 0.4922 0.5028 0.5113  3 Cu 2.74-2.87, 3 Ga 2.85-2.92
Ga: 0.7494 0.5015 0.9962  6 Te 2.85-2.92



| no. | size of the total moment (μB/f.u.) | V (Å³ per atom) |
| --- | --- | --- |
| 1 | 0.000 | 25.0 |
| 2 | 3.651 | 15.2 |
| 3 | 0.000 | 32.8 |
| 4 | 0.000 | 19.2 |
| 5 | 0.000 | 32.0 |
| 6 | 0.000 | 17.3 |
| 7 | 0.000 | 29.1 |
| 8 | 0.000 | 42.6 |
| 9 | 0.000 | 30.1 |
| 10 | 0.000 | 25.6 |
| 11 | 0.000 | 16.5 |
| 12 | 0.000 | 23.1 |